This record from Alexandria via LeMat-Bulk describes a PBEsol-optimized structure of ZnCuAu2. The functional is meta-GGA SCAN.

Calculated formation energy ... -0.147 eV per atom
M_tot ... 0.00 Bohr magnetons per cell

Cell lengths 2.854, 3.660, 5.681 Å; angles 90.00, 90.00, 90.00 degrees
Space group Pmm2 (No. 25)
One atom of each set of equivalent atoms:
Zn: 0.000 0.000 0.000 x1
Cu: 0.500 0.500 0.768 x1
Au: 0.000 0.000 0.540 x1
Au: 0.500 0.500 0.237 x1